A plane-wave DFT calculation with PBE was carried out for a relaxed Y2HoEr3Te6 crystal.

Cell: 9.7033 9.7033 8.7182 Å, 103.17 103.17 25.72°
Atoms (fractional coordinates):
Y 0.1675 0.1675 0.3338
Y 0.8325 0.8325 0.6662
Ho 0.5000 0.5000 0.0000
Er 0.1679 0.1679 0.8329
Er 0.5000 0.5000 0.5000
Er 0.8321 0.8321 0.1671
Te 0.0011 0.0011 0.7496
Te 0.3336 0.3336 0.9201
Te 0.3347 0.3347 0.4150
Te 0.6653 0.6653 0.5850
Te 0.6664 0.6664 0.0799
Te 0.9989 0.9989 0.2504

Calculated values
Formation energy (no corrections) ... -1.2495 eV/atom
Crystal system ... monoclinic